Entry 1:
{
  "formula": "Pr3NdTh2As6",
  "functional": "GGA-PBE",
  "state": "optimized geometry",
  "lattice": [[4.286, 0.000, 0.000], [0.000, 8.558, 0.301], [-2.143, -2.470, 9.005]],
  "species": ["Nd", "Pr", "As", "As", "As", "Pr", "Pr", "As", "Th", "As", "Th", "As"],
  "fractional_positions": [[0.500, 0.000, 0.000], [0.835, 0.166, 0.669], [0.332, 0.420, 0.663], [0.668, 0.580, 0.337], [0.002, 0.250, 0.004], [0.500, 0.500, 0.000], [0.165, 0.834, 0.331], [0.998, 0.750, 0.996], [0.166, 0.331, 0.331], [0.666, 0.087, 0.333], [0.834, 0.669, 0.669], [0.334, 0.913, 0.667]],
  "volume_a3_per_atom": 27.8,
  "space_group": "C2/m (12)",
  "total_magnetization_mub_per_fu": 0.0
}



Entry 2:
{
  "formula": "Pr2NdThAs4",
  "functional": "GGA-PBE",
  "state": "optimized geometry",
  "lattice": [[4.287, 0.000, 0.000], [0.000, 7.414, 0.130], [0.000, -2.590, 6.954]],
  "species": ["Th", "Pr", "As", "As", "As", "Nd", "As", "Pr"],
  "fractional_positions": [[0.500, 0.500, 0.000], [0.500, 0.000, 0.500], [0.000, 0.746, 0.245], [0.500, 0.251, 0.246], [0.000, 0.254, 0.755], [0.000, 0.000, 0.000], [0.500, 0.749, 0.754], [0.000, 0.500, 0.500]],
  "volume_a3_per_atom": 27.8,
  "space_group": "P2/m (10)",
  "total_magnetization_mub_per_fu": 0.0
}



Entry 3:
{
  "formula": "Pr4NdTh3As8",
  "functional": "GGA-PBE",
  "state": "optimized geometry",
  "lattice": [[8.566, 0.000, 0.000], [0.000, 8.566, -0.006], [-4.283, -4.279, 6.060]],
  "species": ["As", "As", "As", "Th", "As", "Pr", "Pr", "Th", "As", "As", "Pr", "Pr", "Th", "As", "Nd", "As"],
  "fractional_positions": [[0.748, 0.744, 0.496], [0.249, 0.745, 0.995], [0.746, 0.745, 0.995], [0.500, 0.500, 0.500], [0.249, 0.745, 0.499], [0.000, 0.000, 0.500], [0.500, 0.000, 0.500], [0.500, 0.500, 0.000], [0.254, 0.255, 0.005], [0.751, 0.255, 0.501], [0.000, 0.000, 0.000], [0.500, 0.000, 0.000], [0.000, 0.500, 0.500], [0.252, 0.256, 0.504], [0.000, 0.500, 0.000], [0.751, 0.255, 0.005]],
  "volume_a3_per_atom": 27.8,
  "space_group": "R-3m (166)",
  "total_magnetization_mub_per_fu": 0.0
}



Entry 4:
{
  "formula": "PrNd3Th2As6",
  "functional": "GGA-PBE",
  "state": "optimized geometry",
  "lattice": [[-2.970, 2.191, 2.159], [1.427, -4.847, 6.881], [7.469, 5.952, 0.000]],
  "species": ["Nd", "Th", "As", "Nd", "As", "Nd", "As", "As", "Pr", "As", "As", "Th"],
  "fractional_positions": [[0.165, 0.834, 0.331], [0.834, 0.669, 0.669], [0.332, 0.419, 0.664], [0.500, 0.500, 0.000], [0.999, 0.747, 0.997], [0.835, 0.166, 0.669], [0.668, 0.087, 0.335], [0.332, 0.913, 0.665], [0.500, 0.000, 0.000], [0.001, 0.253, 0.003], [0.668, 0.581, 0.336], [0.166, 0.331, 0.331]],
  "volume_a3_per_atom": 27.6,
  "space_group": "C2/m (12)",
  "total_magnetization_mub_per_fu": 0.0
}



Entry 5:
{
  "formula": "Pr2NdTmAs4",
  "functional": "GGA-PBE",
  "state": "optimized geometry",
  "lattice": [[-0.375, 4.013, -1.331], [-5.930, 0.853, 4.242], [2.057, 2.391, 6.631]],
  "species": ["As", "As", "Nd", "Pr", "As", "As", "Pr", "Tm"],
  "fractional_positions": [[0.500, 0.739, 0.259], [0.500, 0.261, 0.741], [0.500, 0.500, 0.000], [0.500, 0.000, 0.500], [0.000, 0.744, 0.746], [0.000, 0.256, 0.254], [0.000, 0.000, 0.000], [0.000, 0.500, 0.500]],
  "volume_a3_per_atom": 27.0,
  "space_group": "P2/m (10)",
  "total_magnetization_mub_per_fu": 0.0
}



Entry 6:
{
  "formula": "Pr2NdTm3As6",
  "functional": "GGA-PBE",
  "state": "optimized geometry",
  "lattice": [[-0.935, 0.307, 4.068], [0.653, -8.293, 0.775], [8.922, 2.756, -0.309]],
  "species": ["As", "Pr", "As", "Tm", "Tm", "As", "Pr", "Nd", "Tm", "As", "As", "As"],
  "fractional_positions": [[0.331, 0.925, 0.661], [0.166, 0.333, 0.333], [0.663, 0.592, 0.327], [0.167, 0.833, 0.334], [0.500, 0.500, 0.000], [0.003, 0.743, 0.007], [0.834, 0.667, 0.667], [0.500, 0.000, 0.000], [0.833, 0.167, 0.666], [0.669, 0.075, 0.339], [0.997, 0.257, 0.993], [0.337, 0.408, 0.673]],
  "volume_a3_per_atom": 25.8,
  "space_group": "C2/m (12)",
  "total_magnetization_mub_per_fu": 0.0
}



Entry 7:
{
  "formula": "PrNd3Tm2As6",
  "functional": "GGA-PBE",
  "state": "optimized geometry",
  "lattice": [[7.296, -0.001, 0.000], [-3.647, 6.319, 0.000], [-1.217, -2.107, 6.875]],
  "species": ["As", "Tm", "As", "Tm", "Nd", "Pr", "Nd", "As", "As", "As", "Nd", "As"],
  "fractional_positions": [[0.081, 0.422, 0.243], [0.667, 0.333, 0.000], [0.261, 0.261, 0.759], [0.333, 0.667, 0.000], [0.500, 0.500, 0.500], [0.000, 0.000, 0.000], [0.165, 0.835, 0.500], [0.739, 0.739, 0.241], [0.919, 0.578, 0.757], [0.578, 0.919, 0.757], [0.835, 0.165, 0.500], [0.422, 0.081, 0.243]],
  "volume_a3_per_atom": 26.4,
  "space_group": "C2/m (12)",
  "total_magnetization_mub_per_fu": 0.0
}



Entry 8:
{
  "formula": "PrNd2UAs4",
  "functional": "GGA-PBE",
  "state": "optimized geometry",
  "lattice": [[-0.311, 4.110, -4.337], [3.378, -3.448, -3.537], [-6.465, -2.965, 1.795]],
  "species": ["Nd", "As", "As", "As", "As", "Nd", "Pr", "U"],
  "fractional_positions": [[0.250, 0.750, 0.500], [0.509, 0.009, 0.018], [0.751, 0.751, 0.502], [0.249, 0.249, 0.498], [0.991, 0.491, 0.982], [0.000, 0.000, 0.000], [0.500, 0.500, 0.000], [0.750, 0.250, 0.500]],
  "volume_a3_per_atom": 26.8,
  "space_group": "F222 (22)",
  "total_magnetization_mub_per_fu": 2.5
}



Q: Which energy of formation from the pure elements values were calculated for the entries above? A: -34.4, -34.7, -34.3, -34.5, -34.4, -34.4, -34.4, -30.0, in kcal/mol of atoms.
Q: Which Fermi-level density of states values were calculated for the entries above? A: 4.20, 1.58, 6.15, 4.17, 0.66, 1.88, 1.71, 6.97, in states/eV per cell.